DFT (PBE-GGA) results for a relaxed structure of KIn3B.

Cell and atoms, written as POSCAR:
```
KIn3B
1.0
5.084 0.000 0.000
0.000 5.084 0.000
0.000 0.000 5.084
K B In
1 1 3
direct
0.500 0.500 0.500
0.000 0.000 0.000
0.000 0.500 0.000
0.000 0.000 0.500
0.500 0.000 0.000
```

Properties
Magnetic moment = 0.0 μB per cell
DFT total energy = -13.558 eV per cell
Space group = Pm-3m (221)
Mass density = 4.98 Mg/m³
Calculated volume = 131 Å³/cell

DFT (PBE-GGA) results for a relaxed structure of KIn2B.

Cell and atoms, written as POSCAR:
```
KIn2B
1.0
0.000 3.633 3.633
3.633 0.000 3.633
3.633 3.633 0.000
In K B
2 1 1
direct
0.750 0.750 0.750
0.250 0.250 0.250
0.500 0.500 0.500
0.000 0.000 0.000
```

Properties
Magnetic moment = 0.0 μB per cell
DFT total energy = -9.400 eV per cell
Space group = Fm-3m (225)
Mass density = 4.84 Mg/m³
Calculated volume = 96 Å³/cell

DFT (PBE-GGA) results for a relaxed structure of K2InB.

Cell and atoms, written as POSCAR:
```
K2InB
1.0
-4.262 -3.565 -0.986
-5.308 1.581 1.081
-3.574 0.983 -4.255
B In K
1 1 2
direct
0.000 0.000 0.000
0.500 0.500 0.500
0.250 0.250 0.250
0.750 0.750 0.750
```

Properties
Magnetic moment = 0.0 μB per cell
DFT total energy = -7.362 eV per cell
Space group = Fm-3m (225)
Mass density = 2.66 Mg/m³
Calculated volume = 127 Å³/cell

DFT (PBE-GGA) results for a relaxed structure of KIn3B.

Cell and atoms, written as POSCAR:
```
KIn3B
1.0
-4.616 -3.287 -2.299
4.011 -3.797 -2.625
-0.017 -3.490 5.022
B In K
1 3 1
direct
0.500 0.500 0.500
0.000 0.000 0.500
0.500 0.000 0.000
0.000 0.500 0.000
0.000 0.000 0.000
```

Properties
Magnetic moment = 0.0 μB per cell
DFT total energy = -6.968 eV per cell
Space group = Pm-3m (221)
Mass density = 2.86 Mg/m³
Calculated volume = 229 Å³/cell

DFT (PBE-GGA) results for a relaxed structure of K2NbInB.

Cell and atoms, written as POSCAR:
```
K2NbInB
1.0
-2.140 -1.867 -6.140
1.137 -3.906 0.791
-6.143 -1.276 2.529
K Nb In B
2 1 1 1
direct
0.500 0.000 0.000
0.000 0.000 0.500
0.000 0.000 0.000
0.500 0.500 0.500
0.000 0.500 0.000
```

Properties
Magnetic moment = 2.2 μB per cell
DFT total energy = -15.746 eV per cell
Space group = P4/mmm (123)
Mass density = 2.60 Mg/m³
Calculated volume = 190 Å³/cell

DFT (PBE-GGA) results for a relaxed structure of K3InB2O6.

Cell and atoms, written as POSCAR:
```
K3InB2O6
1.0
-1.975 4.590 -2.200
-1.481 -1.466 5.046
5.303 3.517 2.578
O In B K
6 1 2 3
direct
0.186 0.371 0.304
0.814 0.629 0.696
0.371 0.186 0.696
0.186 0.814 0.304
0.814 0.186 0.696
0.629 0.814 0.304
0.000 0.000 0.500
0.667 0.333 0.691
0.333 0.667 0.309
0.000 0.000 0.000
0.333 0.667 0.743
0.667 0.333 0.257
```

Properties
Magnetic moment = 0.0 μB per cell
Space group = P-3m1 (164)
Mass density = 3.28 Mg/m³
Calculated volume = 177 Å³/cell
Formation energy from raw total energies = -46.6 kcal/mol of atoms

DFT (PBE-GGA) results for a relaxed structure of KInTcB2.

Cell and atoms, written as POSCAR:
```
KInTcB2
1.0
-3.672 1.324 1.775
1.174 -2.822 4.533
2.014 3.426 1.611
B In K Tc
2 1 1 1
direct
0.500 0.000 0.000
0.000 0.000 0.500
0.500 0.500 0.500
0.000 0.500 0.000
0.000 0.000 0.000
```

Properties
Magnetic moment = 0.0 μB per cell
DFT total energy = -21.243 eV per cell
Space group = P4/mmm (123)
Mass density = 4.52 Mg/m³
Calculated volume = 101 Å³/cell

DFT (PBE-GGA) results for a relaxed structure of LaIn3B.

Cell and atoms, written as POSCAR:
```
LaIn3B
1.0
-1.169 -5.150 3.104
5.588 0.237 2.498
-2.221 3.308 4.653
In B La
3 1 1
direct
0.000 0.500 0.000
0.000 0.000 0.500
0.500 0.000 0.000
0.500 0.500 0.500
0.000 0.000 0.000
```

Properties
Magnetic moment = 0.0 μB per cell
DFT total energy = -11.614 eV per cell
Space group = Pm-3m (221)
Mass density = 3.57 Mg/m³
Calculated volume = 230 Å³/cell

DFT (PBE-GGA) results for a relaxed structure of La2InB.

Cell and atoms, written as POSCAR:
```
La2InB
1.0
3.186 1.920 3.749
-0.180 5.129 1.246
-2.004 1.521 4.643
La In B
2 1 1
direct
0.750 0.750 0.750
0.250 0.250 0.250
0.500 0.500 0.500
0.000 0.000 0.000
```

Properties
Magnetic moment = 0.0 μB per cell
DFT total energy = -18.467 eV per cell
Space group = Fm-3m (225)
Mass density = 6.43 Mg/m³
Calculated volume = 104 Å³/cell

DFT (PBE-GGA) results for a relaxed structure of LaInB12.

Cell and atoms, written as POSCAR:
```
LaInB12
1.0
0.093 -4.702 3.639
5.164 -1.940 2.220
1.217 0.733 5.774
B La In
12 1 1
direct
0.101 0.399 0.399
0.101 0.101 0.399
0.899 0.899 0.601
0.899 0.601 0.601
0.899 0.601 0.899
0.399 0.399 0.101
0.399 0.101 0.399
0.601 0.601 0.899
0.101 0.399 0.101
0.601 0.899 0.899
0.399 0.101 0.101
0.601 0.899 0.601
0.500 0.500 0.500
0.000 0.000 0.000
```

Properties
Magnetic moment = 0.0 μB per cell
DFT total energy = -90.439 eV per cell
Space group = Fm-3m (225)
Mass density = 4.28 Mg/m³
Calculated volume = 149 Å³/cell

DFT (PBE-GGA) results for a relaxed structure of LaInB2.

Cell and atoms, written as POSCAR:
```
LaInB2
1.0
-2.249 3.893 -0.373
-3.529 -1.834 2.131
-0.004 3.345 7.648
In La B
2 2 4
direct
0.250 0.750 0.500
0.500 0.500 0.000
0.000 0.000 0.000
0.750 0.250 0.500
0.875 0.627 0.750
0.373 0.625 0.250
0.375 0.623 0.750
0.377 0.125 0.250
```

Properties
Magnetic moment = 0.0 μB per cell
DFT total energy = -36.978 eV per cell
Space group = I-42d (122)
Mass density = 5.82 Mg/m³
Calculated volume = 157 Å³/cell

DFT (PBE-GGA) results for a relaxed structure of LaIn3B.

Cell and atoms, written as POSCAR:
```
LaIn3B
1.0
-1.022 3.092 3.724
-4.808 -0.208 -1.147
-0.561 -3.857 3.048
B In La
1 3 1
direct
0.000 0.000 0.000
0.500 0.000 0.000
0.000 0.000 0.500
0.000 0.500 0.000
0.500 0.500 0.500
```

Properties
Magnetic moment = 0.0 μB per cell
DFT total energy = -18.616 eV per cell
Space group = Pm-3m (221)
Mass density = 6.78 Mg/m³
Calculated volume = 121 Å³/cell

DFT (PBE-GGA) results for a relaxed structure of La3InB.

Cell and atoms, written as POSCAR:
```
La3InB
1.0
5.338 0.000 0.000
0.000 5.338 0.000
0.000 0.000 5.338
In B La
1 1 3
direct
0.500 0.500 0.500
0.000 0.000 0.000
0.000 0.000 0.500
0.500 0.000 0.000
0.000 0.500 0.000
```

Properties
Magnetic moment = 0.0 μB per cell
DFT total energy = -25.088 eV per cell
Space group = Pm-3m (221)
Mass density = 5.92 Mg/m³
Calculated volume = 152 Å³/cell

DFT (PBE-GGA) results for a relaxed structure of La2InB.

Cell and atoms, written as POSCAR:
```
La2InB
1.0
-7.412 0.043 3.137
1.089 -7.513 2.675
-1.886 -2.483 5.902
In B La
2 2 4
direct
0.750 0.250 0.500
0.000 0.000 0.000
0.500 0.500 0.000
0.250 0.750 0.500
0.375 0.452 0.750
0.875 0.798 0.750
0.202 0.625 0.250
0.548 0.125 0.250
```

Properties
Magnetic moment = 0.0 μB per cell
DFT total energy = -37.508 eV per cell
Space group = I-42d (122)
Mass density = 5.93 Mg/m³
Calculated volume = 226 Å³/cell

DFT (PBE-GGA) results for a relaxed structure of La2InNi12B3.

Cell and atoms, written as POSCAR:
```
La2InNi12B3
1.0
-3.751 -4.878 -3.743
2.976 -6.158 -2.258
-1.835 -6.363 2.832
In Ni B La
1 12 3 2
direct
0.000 0.000 0.000
0.270 0.270 0.882
0.853 0.484 0.853
0.118 0.730 0.730
0.853 0.853 0.484
0.882 0.270 0.270
0.147 0.516 0.147
0.147 0.147 0.516
0.730 0.118 0.730
0.730 0.730 0.118
0.270 0.882 0.270
0.516 0.147 0.147
0.484 0.853 0.853
0.000 0.000 0.500
0.500 0.000 0.000
0.000 0.500 0.000
0.597 0.597 0.597
0.403 0.403 0.403
```

Properties
Magnetic moment = 0.0 μB per cell
DFT total energy = -103.365 eV per cell
Space group = R-3m (166)
Mass density = 7.40 Mg/m³
Calculated volume = 253 Å³/cell

DFT (PBE-GGA) results for a relaxed structure of LaInBOs2.

Cell and atoms, written as POSCAR:
```
LaInBOs2
1.0
4.956 0.000 0.000
0.000 4.643 0.000
0.000 0.000 4.956
La Os B In
1 2 1 1
direct
0.000 0.000 0.000
0.000 0.000 0.500
0.500 0.000 0.000
0.000 0.500 0.000
0.500 0.500 0.500
```

Properties
Magnetic moment = 0.0 μB per cell
DFT total energy = -24.726 eV per cell
Space group = P4/mmm (123)
Mass density = 9.39 Mg/m³
Calculated volume = 114 Å³/cell

DFT (PBE-GGA) results for a relaxed structure of La2InBPd6.

Cell and atoms, written as POSCAR:
```
La2InBPd6
1.0
5.870 0.000 0.000
0.000 7.621 0.000
0.000 0.000 8.850
Pd In B La
12 2 2 4
direct
0.500 0.141 0.738
0.500 0.141 0.262
0.261 0.378 0.500
0.263 0.015 0.000
0.761 0.622 0.000
0.000 0.859 0.762
0.737 0.015 0.000
0.237 0.985 0.500
0.763 0.985 0.500
0.739 0.378 0.500
0.239 0.622 0.000
0.000 0.859 0.238
0.000 0.666 0.500
0.500 0.334 0.000
0.000 0.828 0.000
0.500 0.172 0.500
0.500 0.726 0.725
0.000 0.274 0.225
0.000 0.274 0.775
0.500 0.726 0.275
```

Properties
Magnetic moment = 0.0 μB per cell
DFT total energy = -114.548 eV per cell
Space group = Pmmn (59)
Mass density = 8.74 Mg/m³
Calculated volume = 396 Å³/cell

DFT (PBE-GGA) results for a relaxed structure of La2InB3Pt12.

Cell and atoms, written as POSCAR:
```
La2InB3Pt12
1.0
7.532 -0.239 -0.170
3.512 6.667 -0.170
3.512 2.044 6.349
B Pt La In
3 12 2 1
direct
0.500 0.000 0.000
0.000 0.000 0.500
0.000 0.500 0.000
0.323 0.323 0.912
0.128 0.128 0.602
0.398 0.872 0.872
0.128 0.602 0.128
0.323 0.912 0.323
0.872 0.872 0.398
0.088 0.677 0.677
0.677 0.088 0.677
0.912 0.323 0.323
0.872 0.398 0.872
0.677 0.677 0.088
0.602 0.128 0.128
0.604 0.604 0.604
0.396 0.396 0.396
0.000 0.000 0.000
```

Properties
Magnetic moment = 0.0 μB per cell
DFT total energy = -113.019 eV per cell
Space group = R-3m (166)
Mass density = 13.93 Mg/m³
Calculated volume = 330 Å³/cell

DFT (PBE-GGA) results for a relaxed structure of La2In2BRh4.

Cell and atoms, written as POSCAR:
```
La2In2BRh4
1.0
-2.032 1.653 -5.605
-2.242 -5.242 2.403
-1.705 3.521 4.793
Rh La In B
4 2 2 1
direct
0.464 0.232 0.232
0.536 0.768 0.768
0.000 0.768 0.232
0.000 0.232 0.768
0.500 0.750 0.250
0.500 0.250 0.750
0.000 0.684 0.684
0.000 0.316 0.316
0.000 0.000 0.000
```

Properties
Magnetic moment = 0.0 μB per cell
DFT total energy = -55.721 eV per cell
Space group = I4/mmm (139)
Mass density = 8.90 Mg/m³
Calculated volume = 174 Å³/cell

DFT (PBE-GGA) results for a relaxed structure of La2InBRh6.

Cell and atoms, written as POSCAR:
```
La2InBRh6
1.0
5.797 -0.009 0.005
0.012 7.287 -1.055
2.901 2.865 4.103
La Rh B In
2 6 1 1
direct
0.737 0.209 0.526
0.263 0.791 0.474
0.731 0.667 0.065
0.269 0.333 0.935
0.205 0.667 0.065
0.269 0.330 0.461
0.731 0.670 0.539
0.795 0.333 0.935
0.500 0.500 0.000
0.000 0.000 0.000
```

Properties
Magnetic moment = 0.0 μB per cell
DFT total energy = -68.570 eV per cell
Space group = C2/m (12)
Mass density = 8.88 Mg/m³
Calculated volume = 191 Å³/cell